Entry 1:
Below is a relaxed structure of FeReW2, with properties calculated at the PBE level.

abc: 5.5726 5.5726 6.7327
angles: 65.55 65.55 90.00
Fractional positions:
W1 0.3750 0.4050 0.7500
W2 0.5950 0.1250 0.2500
W3 0.8750 0.8450 0.7500
W4 0.1550 0.6250 0.2500
Fe1 0.2500 0.7500 0.5000
Fe2 0.5000 0.5000 0.0000
Re1 0.7500 0.2500 0.5000
Re2 0.0000 0.0000 0.0000

Computed properties:
The density of states at the Fermi level is 4.06 states/eV/f.u. For the energy of formation, the calculation gives 1812 meV/atom. Its space group is I-42d (122). For the relative energy among the computed polymorphs, the calculation gives 1.703 eV/atom. As for the electronic total energy: -9.89 eV per atom. The size of the total moment is 0.000 μB per cell.

=====

Entry 2:
Below is a relaxed structure of Fe2ReW, with properties calculated at the PBE level.

abc: 4.2811 4.2811 4.2811
angles: 60.00 60.00 60.00
Site moments in Bohr magnetons follow the coordinates.
Fractional positions:
Fe1 0.0000 0.0000 0.0000  2.11
Fe2 0.2500 0.2500 0.2500  2.63
W1 0.7500 0.7500 0.7500  -0.05
Re1 0.5000 0.5000 0.5000  0.28

Computed properties:
The density of states at the Fermi level is 2.46 states/eV/f.u. For the energy of formation, the calculation gives 110 meV/atom. Its space group is F-43m (216). As for the electronic total energy: -10.47 eV per atom. The size of the total moment is 4.920 μB per cell.